A plane-wave DFT calculation with PBE was carried out for crystalline BaYRh at its relaxed geometry.

Cell: 11.528 11.528 7.704 Å, 93.98 93.98 25.33°
Sites, in units of the cell vectors:
Ba 0.081 0.081 0.304
Ba 0.407 0.407 0.175
Ba 0.593 0.593 0.825
Ba 0.919 0.919 0.696
Y 0.214 0.214 0.610
Y 0.233 0.233 0.128
Y 0.767 0.767 0.872
Y 0.786 0.786 0.390
Rh 0.315 0.315 0.843
Rh 0.328 0.328 0.486
Rh 0.672 0.672 0.514
Rh 0.685 0.685 0.157

M_tot: 0.00 μB/f.u.
symmetry: C2/m, No. 12
energy above the most stable polymorph in this dataset: 0.0 meV/atom

A plane-wave DFT calculation with PBE was carried out for crystalline ScTcBC2 at its relaxed geometry.

Cell: 3.979 3.979 4.028 Å, 90.00 90.00 90.00°
Sites, in units of the cell vectors:
Sc 0.000 0.000 0.000
Tc 0.500 0.500 0.500
B 0.500 0.500 0.000
C 0.000 0.500 0.500
C 0.500 0.000 0.500

M_tot: 0.00 μB/f.u.
symmetry: P4/mmm, No. 123
energy: -37.2 eV/cell

A plane-wave DFT calculation with PBE was carried out for crystalline BePdNO2 at its relaxed geometry.

Cell: 4.080 4.080 3.647 Å, 90.00 90.00 90.00°
Sites, in units of the cell vectors:
Be 0.000 0.000 0.000
Pd 0.500 0.500 0.500
N 0.500 0.500 0.000
O 0.000 0.500 0.500
O 0.500 0.000 0.500

ΔE_f (raw): 0.95 eV per atom
M_tot: 0.27 μB/f.u.
symmetry: P4/mmm, No. 123

A plane-wave DFT calculation with PBE was carried out for crystalline VGe3As at its relaxed geometry.

Cell: 4.781 4.781 4.781 Å, 90.00 90.00 90.00°
Sites, in units of the cell vectors:
V 0.000 0.000 0.000
Ge 0.000 0.000 0.500
Ge 0.000 0.500 0.000
Ge 0.500 0.000 0.000
As 0.500 0.500 0.500

M_tot: 0.90 μB/f.u.
symmetry: Pm-3m, No. 221
energy above the most stable polymorph in this dataset: 0.0 meV/atom

A plane-wave DFT calculation with PBE was carried out for crystalline Pr8Sn2Te at its relaxed geometry.

Cell: 9.884 9.884 8.059 Å, 93.07 93.07 28.40°
Sites, in units of the cell vectors:
Pr 0.000 0.000 0.249
Pr 0.000 0.000 0.751
Pr 0.216 0.216 0.859
Pr 0.336 0.336 0.463
Pr 0.400 0.400 0.981
Pr 0.600 0.600 0.019
Pr 0.664 0.664 0.537
Pr 0.784 0.784 0.141
Sn 0.175 0.175 0.269
Sn 0.825 0.825 0.731
Te 0.500 0.500 0.500

ΔE_f (raw): -0.51 eV per atom
M_tot: 0.00 μB/f.u.
symmetry: C2/m, No. 12

A plane-wave DFT calculation with PBE was carried out for crystalline TaBSN2 at its relaxed geometry.

Cell: 3.946 3.946 5.160 Å, 90.00 90.00 90.00°
Sites, in units of the cell vectors:
Ta 0.000 0.000 0.000
B 0.500 0.500 0.500
S 0.000 0.000 0.500
N 0.000 0.500 0.000
N 0.500 0.000 0.000

ΔE_f (raw): 1.05 eV per atom
M_tot: 0.00 μB/f.u.
symmetry: P4/mmm, No. 123
energy above the most stable polymorph in this dataset: 128.1 meV/atom

A plane-wave DFT calculation with PBE was carried out for crystalline Be2InReO at its relaxed geometry.

Cell: 3.715 3.715 4.619 Å, 90.00 90.00 90.00°
Sites, in units of the cell vectors:
Be 0.000 0.500 0.000
Be 0.500 0.000 0.000
In 0.000 0.000 0.500
Re 0.500 0.500 0.500
O 0.000 0.000 0.000

ΔE_f (raw): 0.14 eV per atom
M_tot: 0.00 μB/f.u.
symmetry: P4/mmm, No. 123

A plane-wave DFT calculation with PBE was carried out for crystalline Cd3In8 at its relaxed geometry.

Cell: 7.300 7.300 7.300 Å, 107.92 107.92 107.92°
Sites, in units of the cell vectors:
Cd 0.000 0.500 0.500
Cd 0.500 0.000 0.500
Cd 0.500 0.500 0.000
In 0.003 0.820 0.316
In 0.180 0.684 0.997
In 0.250 0.250 0.250
In 0.316 0.003 0.820
In 0.684 0.997 0.180
In 0.750 0.750 0.750
In 0.820 0.316 0.003
In 0.997 0.180 0.684

M_tot: 0.00 μB/f.u.
symmetry: R-3, No. 148
energy: -23.6 eV/cell

A plane-wave DFT calculation with PBE was carried out for crystalline Na2Cd7Ag at its relaxed geometry.

Cell: 7.627 7.627 7.627 Å, 60.00 60.00 60.00°
Sites, in units of the cell vectors:
Na 0.250 0.250 0.250
Na 0.750 0.750 0.750
Cd 0.000 0.000 0.000
Cd 0.254 0.254 0.746
Cd 0.254 0.746 0.254
Cd 0.254 0.746 0.746
Cd 0.746 0.254 0.254
Cd 0.746 0.254 0.746
Cd 0.746 0.746 0.254
Ag 0.500 0.500 0.500

M_tot: 0.00 μB/f.u.
symmetry: Fm-3m, No. 225
energy: -10.5 eV/cell

A plane-wave DFT calculation with PBE was carried out for crystalline TlAg5Br7 at its relaxed geometry.

Cell: 7.285 7.285 24.085 Å, 90.05 90.05 33.95°
Sites, in units of the cell vectors:
Tl 0.187 0.187 0.250
Tl 0.813 0.813 0.750
Ag 0.000 0.000 0.000
Ag 0.000 0.000 0.500
Ag 0.286 0.286 0.929
Ag 0.287 0.287 0.571
Ag 0.443 0.443 0.356
Ag 0.444 0.444 0.144
Ag 0.556 0.556 0.856
Ag 0.557 0.557 0.644
Ag 0.713 0.713 0.429
Ag 0.714 0.714 0.071
Br 0.075 0.075 0.106
Br 0.075 0.075 0.394
Br 0.189 0.189 0.835
Br 0.190 0.190 0.665
Br 0.361 0.361 0.032
Br 0.361 0.361 0.468
Br 0.488 0.488 0.750
Br 0.512 0.512 0.250
Br 0.639 0.639 0.532
Br 0.639 0.639 0.968
Br 0.810 0.810 0.335
Br 0.811 0.811 0.165
Br 0.925 0.925 0.606
Br 0.925 0.925 0.894

ΔE_f (raw): -0.38 eV per atom
M_tot: 0.00 μB/f.u.
symmetry: C2/m, No. 12

A plane-wave DFT calculation with PBE was carried out for crystalline Ta2SI at its relaxed geometry.

Cell: 8.737 8.737 8.737 Å, 148.66 148.66 44.91°
Sites, in units of the cell vectors:
Ta 0.049 0.625 0.924
Ta 0.375 0.299 0.424
Ta 0.701 0.125 0.076
Ta 0.875 0.951 0.576
S 0.000 0.000 0.000
S 0.750 0.250 0.500
I 0.250 0.750 0.500
I 0.500 0.500 0.000

ΔE_f (raw): 0.35 eV per atom
M_tot: 0.00 μB/f.u.
symmetry: I-42d, No. 122
energy above the most stable polymorph in this dataset: 0.0 meV/atom

A plane-wave DFT calculation with PBE was carried out for crystalline RbBaBrO2 at its relaxed geometry.

Cell: 5.277 5.277 5.487 Å, 90.00 90.00 90.00°
Sites, in units of the cell vectors:
Rb 0.000 0.000 0.000
Ba 0.500 0.500 0.000
Br 0.500 0.500 0.500
O 0.000 0.500 0.500
O 0.500 0.000 0.500

ΔE_f (raw): -0.04 eV per atom
M_tot: 0.02 μB/f.u.
symmetry: P4/mmm, No. 123

Look up the M_tot of the eighth one.
0.00 μB/f.u.